No. 1
# Li5TlSn2

An optimized crystal structure of Li5TlSn2 (PBE-GGA, Alexandria via LeMat-Bulk).

Values from the calculation:
- energy of formation (meV/atom) = -306
- symmetry = I4/mmm (139)

Cell and atoms, written as POSCAR:
```
Li5TlSn2
1.0
-2.373 2.373 6.891
2.373 -2.373 6.891
2.373 2.373 -6.891
Li Tl Sn
5 1 2
Cartesian
0.000 0.000 0.000 Li
2.373 0.000 1.737 Li
2.373 0.000 5.154 Li
0.000 2.373 1.737 Li
0.000 2.373 5.154 Li
0.000 0.000 6.891 Tl
0.000 0.000 3.382 Sn
0.000 0.000 10.401 Sn
```



No. 2
# Li5Y

An optimized crystal structure of Li5Y (PBE-GGA, Alexandria via LeMat-Bulk).

Values from the calculation:
- energy of formation (meV/atom) = 114
- symmetry = F-43m (216)
- excess energy over the best structure of this formula in the dataset (meV per atom) = 41

Cell and atoms, written as POSCAR:
```
Li5Y
1.0
0.000 4.026 4.026
4.026 0.000 4.026
4.026 4.026 0.000
Li Y
5 1
Cartesian
0.000 0.000 0.000 Li
5.041 3.012 3.012 Li
3.012 5.041 3.012 Li
3.012 3.012 5.041 Li
5.041 5.041 5.041 Li
2.013 2.013 2.013 Y
```



No. 3
# U2Tl2Se5

An optimized crystal structure of U2Tl2Se5 (PBE-GGA, Alexandria via LeMat-Bulk).

Values from the calculation:
- formation energy (no corrections) (meV/atom) = -923
- symmetry = Cmce (64)

Cell and atoms, written as POSCAR:
```
U2Tl2Se5
1.0
8.192 -3.921 0.000
8.192 3.921 0.000
0.000 0.000 7.848
U Tl Se
4 4 10
Cartesian
8.192 2.685 6.611 U
8.192 1.237 2.687 U
8.192 -1.237 5.161 U
8.192 -2.685 1.237 U
3.293 0.000 3.924 Tl
4.900 0.000 0.000 Tl
11.485 0.000 0.000 Tl
13.092 0.000 3.924 Tl
0.000 0.000 3.924 Se
6.353 2.766 1.154 Se
6.353 1.155 5.078 Se
10.032 2.766 1.154 Se
10.032 1.155 5.078 Se
8.192 0.000 0.000 Se
6.353 -1.155 2.770 Se
6.353 -2.766 6.694 Se
10.032 -1.155 2.770 Se
10.032 -2.766 6.694 Se
```



No. 4
# CeNiBiAu

An optimized crystal structure of CeNiBiAu (PBE-GGA, Alexandria via LeMat-Bulk).

Values from the calculation:
- energy of formation (meV/atom) = -359
- symmetry = F-43m (216)

Cell and atoms, written as POSCAR:
```
CeNiBiAu
1.0
0.000 3.517 3.517
3.517 0.000 3.517
3.517 3.517 0.000
Ce Ni Bi Au
1 1 1 1
Cartesian
0.000 0.000 0.000 Ce
1.759 1.759 1.759 Ni
3.517 3.517 3.517 Bi
5.276 5.276 5.276 Au
```



No. 5
# KNi4Se8

An optimized crystal structure of KNi4Se8 (PBE-GGA, Alexandria via LeMat-Bulk).

Values from the calculation:
- formation energy (no corrections) (meV/atom) = -367
- symmetry = R-3m (166)

Cell and atoms, written as POSCAR:
```
KNi4Se8
1.0
3.555 2.052 8.086
-3.555 2.052 8.086
0.000 -4.105 8.086
K Ni Se
1 4 8
Cartesian
0.000 0.000 0.000 K
-3.555 0.000 12.128 Ni
-1.777 1.026 4.043 Ni
1.777 1.026 4.043 Ni
0.000 0.000 12.128 Ni
-1.789 -1.033 13.379 Se
0.000 0.000 5.291 Se
0.000 -2.066 10.878 Se
-1.789 1.033 10.878 Se
1.789 -1.033 13.379 Se
0.000 2.066 13.379 Se
0.000 0.000 18.965 Se
1.789 1.033 10.878 Se
```



No. 6
# RbTiI2

An optimized crystal structure of RbTiI2 (PBE-GGA, Alexandria via LeMat-Bulk).

Values from the calculation:
- formation energy (no corrections) (meV/atom) = -507
- symmetry = I-42d (122)
- excess energy over the best structure of this formula in the dataset (meV per atom) = 0

Cell and atoms, written as POSCAR:
```
RbTiI2
1.0
-4.398 4.398 4.192
4.398 -4.398 4.192
4.398 4.398 -4.192
Rb Ti I
2 2 4
Cartesian
0.000 0.000 0.000 Rb
0.000 4.398 2.096 Rb
4.398 0.000 2.096 Ti
0.000 0.000 4.192 Ti
2.199 2.981 -1.048 I
5.814 2.199 1.048 I
2.199 1.416 3.144 I
-1.416 2.199 5.239 I
```



Here are the calculated magnetic moment numbers, same order: 0.0000 0.1037 0.4444 0.0232 0.0001 0.7499 (μB/atom).
Here are the calculated total DFT energy (no corrections) numbers, same order: -0.1028 -0.0940 -0.2166 -0.1866 -0.1608 -0.1285 (Ha/atom).